1.
DFT (PBE-GGA) results for a geometry-optimized RbPu2Sb2 structure.

The structure in extended XYZ format:
```
5
Lattice="-1.6788 1.8327 10.7781 1.6788 -1.8327 10.7781 1.6788 1.8327 -10.7781" Properties=species:S:1:pos:R:3 pbc="T T T"
Rb 0.0000 0.0000 0.0000
Pu 1.6788 0.0000 5.3678
Pu 0.0000 1.8327 5.4102
Sb 0.0000 0.0000 8.0076
Sb 0.0000 0.0000 13.5485
```

Results
* E: -7.514 eV per atom


2.
DFT (PBE-GGA) results for a geometry-optimized Rb3PuSb2Se6 structure.

The structure in extended XYZ format:
```
12
Lattice="3.7401 -6.4796 0.0000 3.7401 6.4796 0.0000 -2.4927 0.0000 7.9507" Properties=species:S:1:pos:R:3 pbc="T T T"
Rb 0.0000 0.0000 0.0000
Rb 3.7401 2.1742 0.0000
Rb 3.7401 -2.1742 0.0000
Pu 2.4938 0.0000 3.9753
Sb 2.4938 4.3224 3.9753
Sb 2.4938 -4.3224 3.9753
Se 1.2410 2.1720 2.4209
Se -0.0133 0.0000 5.5338
Se 1.2410 -2.1720 2.4209
Se 3.7466 2.1720 5.5298
Se 5.0008 0.0000 2.4169
Se 3.7466 -2.1720 5.5298
```

Results
* E: -4.782 eV per atom


3.
DFT (PBE-GGA) results for a geometry-optimized Rb2Pu2SbSe6 structure.

The structure in extended XYZ format:
```
11
Lattice="3.6553 -6.3317 0.0000 3.6553 6.3317 0.0000 -2.3740 0.0000 8.1348" Properties=species:S:1:pos:R:3 pbc="T T T"
Rb 3.6553 4.2495 0.0000
Rb 3.6553 -4.2495 0.0000
Pu 2.4682 2.1069 4.0674
Pu 2.4682 -2.1069 4.0674
Sb -1.1870 0.0000 4.0674
Se 0.0452 2.1380 5.6072
Se 1.2764 0.0000 2.5204
Se 0.0452 -2.1380 5.6072
Se 4.8913 2.1380 2.5276
Se 3.6601 0.0000 5.6144
Se 4.8913 -2.1380 2.5276
```

Results
* E: -6.201 eV per atom